## BaHf3Tc (PBEsol)

Data for a relaxed BaHf3Tc crystal.

a b c (Å): 5.087 5.087 5.087
angles (deg): 90.00 90.00 90.00
Space group Pm-3m (No. 221)
Asymmetric unit:
Ba  0.000  0.000  0.000 x1
Hf  0.000  0.000  0.500 x3
Tc  0.500  0.500  0.500 x1

Output
Fermi-level density of states (states/eV/cell): 6.08
VASP energy (eV per atom): -6.43
Energy of formation (kJ per mole of atoms): 246.7